1.
## TlSe (PBE)

Data for a relaxed TlSe crystal.

Cell lengths 3.750, 3.750, 3.750 Å; angles 90.00, 90.00, 90.00 degrees
Positions (direct):
Tl1 0.000 0.000 0.000
Se1 0.500 0.500 0.500

Output
* raw formation energy: -0.084 eV per atom
* symmetry: Pm-3m, No. 221
* total magnetization: 0.0 μB per formula unit
* theoretical density: 8920 kg/m³

2.
## TlSe3 (PBE)

Data for a relaxed TlSe3 crystal.

Cell lengths 8.070, 5.536, 5.536 Å; angles 94.41, 90.00, 90.00 degrees
Positions (direct):
Tl1 0.000 0.000 0.000
Tl2 0.500 0.500 0.500
Se1 0.000 0.469 0.469
Se2 0.159 0.824 0.478
Se3 0.341 0.324 0.978
Se4 0.500 0.969 0.969
Se5 0.659 0.978 0.324
Se6 0.841 0.478 0.824

Output
* raw formation energy: -0.078 eV per atom
* symmetry: Aea2, No. 41
* total magnetization: 0.0 μB per formula unit
* theoretical density: 5943 kg/m³

Number 1: E -6.02 eV for the cell shown. Number 2: E -26.26 eV for the cell shown.